Entry 1:
LiYTl2 PBE relaxed; energy above the most stable polymorph in this dataset = 0.206 eV/atom; volume = 108 Å³/cell; total magnetization = 0.00 Bohr magnetons per cell; energy relative to the elements = -0.1234 eV per atom; theoretical density = 7.787 g/cm3; VASP energy = -13.60 eV per cell
1.0
-3.212 -0.064 -1.315
1.795 -1.337 -4.319
-0.560 -6.126 1.664
Tl Y Li
2 1 1
direct
0.000 0.000 0.963
0.500 0.500 0.284
0.000 0.000 0.467
0.500 0.500 0.786

***

Entry 2:
Ga2NiCl2 PBE relaxed; energy above the most stable polymorph in this dataset = 0.530 eV/atom; uncorrected formation energy = 0.37 eV/atom; volume = 114 Å³/cell; total magnetization = 0.00 Bohr magnetons per cell; theoretical density = 3.910 g/cm3; VASP energy = -13.69 eV per cell
1.0
4.289 0.000 0.000
0.000 4.289 0.000
2.145 2.145 6.210
Ga Cl Ni
2 2 1
direct
0.385 0.385 0.230
0.615 0.615 0.770
0.750 0.250 0.500
0.250 0.750 0.500
0.000 0.000 0.000

***

Entry 3:
ZrSc2HRh PBE relaxed; volume = 81 Å³/cell; total magnetization = 0.00 Bohr magnetons per cell; theoretical density = 5.811 g/cm3; VASP energy = -33.73 eV per cell
1.0
-0.429 2.496 3.660
-0.253 -3.685 2.483
4.086 0.029 0.460
Rh Sc H Zr
1 2 1 1
direct
0.500 0.500 0.500
0.500 0.000 0.000
0.000 0.500 0.000
0.000 0.000 0.000
0.000 0.000 0.500

***

Entry 4:
HgIr2Br PBE relaxed; energy above the most stable polymorph in this dataset = 0.209 eV/atom; uncorrected formation energy = 0.63 eV/atom; volume = 93 Å³/cell; total magnetization = 0.29 Bohr magnetons per cell; theoretical density = 11.811 g/cm3; VASP energy = -17.17 eV per cell
1.0
6.763 0.003 -0.308
6.122 2.874 -0.308
0.212 0.047 4.805
Ir Br Hg
2 1 1
direct
0.244 0.244 0.250
0.904 0.904 0.250
0.566 0.566 0.250
0.786 0.786 0.750

***

Entry 5:
TeIrAu2 PBE relaxed; uncorrected formation energy = 0.45 eV/atom; volume = 162 Å³/cell; total magnetization = 0.00 Bohr magnetons per cell; theoretical density = 14.653 g/cm3; VASP energy = -33.48 eV per cell
1.0
-5.446 1.116 -5.394
-5.482 -1.847 5.152
-5.653 2.224 0.606
Au Te Ir
4 2 2
direct
0.113 0.625 0.250
0.637 0.125 0.250
0.875 0.887 0.750
0.375 0.363 0.750
0.500 0.500 0.000
0.250 0.750 0.500
0.750 0.250 0.500
0.000 0.000 0.000

***

Entry 6:
Cd3CuTc PBE relaxed; energy above the most stable polymorph in this dataset = 0.000 eV/atom; volume = 113 Å³/cell; total magnetization = 3.10 Bohr magnetons per cell; energy relative to the elements = 0.9327 eV per atom; theoretical density = 7.333 g/cm3; VASP energy = -12.54 eV per cell
1.0
-1.716 4.453 -0.771
-3.373 -1.811 -2.952
-3.008 -0.510 3.749
Cd Cu Tc
3 1 1
direct
0.500 0.000 0.000
0.000 0.500 0.000
0.000 0.000 0.500
0.000 0.000 0.000
0.500 0.500 0.500

***

Entry 7:
Rb3U2PdSe6 PBE relaxed; uncorrected formation energy = -1.04 eV/atom; volume = 362 Å³/cell; total magnetization = 2.91 Bohr magnetons per cell; theoretical density = 6.020 g/cm3; VASP energy = -64.06 eV per cell
1.0
7.274 -0.058 0.009
-3.685 6.271 0.009
-1.186 -2.054 7.969
Se Rb Pd U
6 3 1 2
direct
0.273 0.273 0.814
0.587 0.937 0.803
0.413 0.063 0.197
0.937 0.587 0.803
0.063 0.413 0.197
0.727 0.727 0.186
0.841 0.159 0.500
0.500 0.500 0.500
0.159 0.841 0.500
0.000 0.000 0.000
0.334 0.666 0.000
0.666 0.334 0.000

***

Entry 8:
AcLa4N5 PBE relaxed; uncorrected formation energy = -1.26 eV/atom; volume = 192 Å³/cell; total magnetization = 0.00 Bohr magnetons per cell; theoretical density = 7.384 g/cm3; VASP energy = -78.03 eV per cell
1.0
3.719 0.000 -0.717
-0.275 5.137 -1.426
0.007 0.011 10.032
N La Ac
5 4 1
direct
0.000 0.500 0.000
0.606 0.106 0.212
0.803 0.303 0.605
0.197 0.697 0.395
0.394 0.894 0.788
0.200 0.200 0.401
0.398 0.398 0.795
0.800 0.800 0.599
0.602 0.602 0.205
0.000 0.000 0.000